VASP calculation (PBE with a Hubbard U) on a geometry-optimized Ge3WF structure.

Summary:
Its space group is No. 221. As for the energy above the most stable polymorph in this dataset: 0 kJ/mol of formula units.

Lattice parameters (Å, degrees): 4.9329 4.9329 4.9329 90.00 90.00 90.00
With the nearest neighbours (Å) after each atom.
Element x y z (fractional)
1 Ge 0.0000 0.5000 0.0000  2 W 2.47
2 Ge 0.0000 0.0000 0.5000  2 W 2.47
3 Ge 0.5000 0.0000 0.0000  2 W 2.47
4 F 0.5000 0.5000 0.5000  12 Ge 3.49
5 W 0.0000 0.0000 0.0000  6 Ge 2.47